No. 1
Material: Cu3SnMo
Method: DFT, PBE
State: relaxed

Structure (extended XYZ):
```
5
Lattice="-3.394 3.235 -0.540 -2.456 -3.022 -2.667 -2.174 -1.637 3.857" Properties=species:S:1:pos:R:3 pbc="T T T"
Mo 0.000 0.000 0.000
Sn -4.012 -0.712 0.325
Cu -1.228 -1.511 -1.333
Cu -1.087 -0.818 1.928
Cu -1.697 1.617 -0.270
```

Output
**DFT formation energy**: 1.285 eV/atom
**ΔE to the lowest computed polymorph**: 0 meV per atom
**Space-group type**: Pm-3m, No. 221

---

No. 2
Material: CuSnMo3
Method: DFT, PBE
State: relaxed

Structure (extended XYZ):
```
5
Lattice="-2.786 3.164 1.714 -1.951 -3.149 2.643 3.024 0.883 3.284" Properties=species:S:1:pos:R:3 pbc="T T T"
Mo -0.975 -1.575 1.321
Mo 1.512 0.442 1.642
Mo -1.393 1.582 0.857
Sn -0.856 0.449 3.820
Cu 0.000 0.000 0.000
```

Output
**DFT formation energy**: 1.343 eV/atom
**ΔE to the lowest computed polymorph**: 0 meV per atom
**Space-group type**: Pm-3m, No. 221

---

No. 3
Material: CuSnMo3
Method: DFT, PBE
State: relaxed

Structure (extended XYZ):
```
5
Lattice="-0.355 0.791 -4.816 3.414 -3.411 -0.812 -3.489 -3.419 -0.304" Properties=species:S:1:pos:R:3 pbc="T T T"
Mo 1.707 -1.706 -0.406
Mo -1.744 -1.709 -0.152
Mo -0.178 0.395 -2.408
Sn 0.000 0.000 0.000
Cu -0.215 -3.020 -2.966
```

Output
**DFT formation energy**: 2.439 eV/atom
**ΔE to the lowest computed polymorph**: 1097 meV per atom
**Space-group type**: Pm-3m, No. 221